(i)
# CsCd3Ge

Crystalline CsCd3Ge at its relaxed geometry (PBE, the Alexandria database).

a = 6.9754 Å, b = 7.0496 Å, c = 12.1594 Å
α = 90.00°, β = 90.00°, γ = 90.00°
With the nearest neighbours (Å) after each atom.
Space group Fmm2 (No. 42)
One atom of each set of equivalent atoms:
Cs1 0.0000 0.0000 0.0000 (multiplicity 4)  12 Cd 3.74-4.04, 4 Ge 3.80-3.84
Cd1 0.0000 0.0000 0.6121 (multiplicity 4)  1 Ge 2.88, 4 Cd 3.08
Cd2 0.2500 0.2500 0.2619 (multiplicity 8)  2 Ge 2.84, 2 Cd 3.08
Ge1 0.0000 0.0000 0.3753 (multiplicity 4)  5 Cd 2.84-2.88

Output
Total magnetic moment (μB per formula unit): 0.0
Volume (Å³ per cell): 598

(ii)
# CsCd3Ge

Crystalline CsCd3Ge at its relaxed geometry (PBE, the Alexandria database).

a = 6.2963 Å, b = 7.0048 Å, c = 7.9048 Å
α = 89.95°, β = 84.43°, γ = 89.99°
With the nearest neighbours (Å) after each atom.
Space group P1 (No. 1)
One atom of each set of equivalent atoms:
Cs1 0.0000 0.0000 0.0000 (multiplicity 1)  1 Ge 3.70, 7 Cd 3.89-3.95
Cs2 0.3819 0.4998 0.7679 (multiplicity 1)  4 Ge 3.90-4.25, 7 Cd 4.07-4.32
Cd1 0.2500 0.0000 0.5298 (multiplicity 1)  1 Ge 2.72, 4 Cd 2.97-3.01
Cd2 0.4732 0.2080 0.2365 (multiplicity 1)  3 Cd 2.86-2.97, 1 Ge 2.87
Cd3 0.4730 0.7918 0.2368 (multiplicity 1)  3 Cd 2.86-2.97, 1 Ge 2.87
Cd4 0.7823 0.5000 0.1506 (multiplicity 1)  1 Ge 2.69, 2 Cd 2.86
Cd5 0.8744 0.2516 0.4753 (multiplicity 1)  2 Ge 2.67-2.78
Cd6 0.8748 0.7481 0.4750 (multiplicity 1)  2 Ge 2.67-2.78
Ge1 0.1546 0.4997 0.2918 (multiplicity 1)  5 Cd 2.69-2.87
Ge2 0.6342 0.9994 0.6613 (multiplicity 1)  3 Cd 2.67-2.72

Output
Total magnetic moment (μB per formula unit): 0.0
Volume (Å³ per cell): 347

Here is how they stack up, most stable first: (i), (ii).

(i)
# CsCd3Ge

Crystalline CsCd3Ge at its relaxed geometry (PBE, the Alexandria database).

a = 7.0903 Å, b = 7.0903 Å, c = 7.0903 Å
α = 90.00°, β = 90.00°, γ = 90.00°
With the nearest neighbours (Å) after each atom.
Space group Pm-3m (No. 221)
One atom of each set of equivalent atoms:
Cs1 0.0000 0.0000 0.0000 (multiplicity 1)  6 Cd 3.55
Cd1 0.0000 0.0000 0.5000 (multiplicity 3)  2 Cs 3.55
Ge1 0.5000 0.5000 0.5000 (multiplicity 1)  12 Cd 5.01

Output
Total magnetic moment (μB per formula unit): 3.0
Volume (Å³ per cell): 356

(ii)
# CsCd3Ge

Crystalline CsCd3Ge at its relaxed geometry (PBE, the Alexandria database).

a = 5.6584 Å, b = 5.6584 Å, c = 5.6584 Å
α = 90.00°, β = 90.00°, γ = 90.00°
With the nearest neighbours (Å) after each atom.
Space group Pm-3m (No. 221)
One atom of each set of equivalent atoms:
Cs1 0.0000 0.0000 0.0000 (multiplicity 1)  12 Cd 4.00
Cd1 0.0000 0.5000 0.5000 (multiplicity 3)  2 Ge 2.83
Ge1 0.5000 0.5000 0.5000 (multiplicity 1)  6 Cd 2.83

Output
Total magnetic moment (μB per formula unit): 0.0
Volume (Å³ per cell): 181

Here is how they stack up, most stable first: (ii), (i).

(i)
# Cs4Cd2H

Crystalline Cs4Cd2H at its relaxed geometry (PBE, the Alexandria database).

a = 16.5783 Å, b = 4.9704 Å, c = 11.1446 Å
α = 90.00°, β = 126.16°, γ = 90.00°
With the nearest neighbours (Å) after each atom.
Space group C2/m (No. 12)
One atom of each set of equivalent atoms:
Cs1 0.0796 0.0000 0.3488 (multiplicity 4)  1 H 3.29
Cs2 0.1544 0.5000 0.0704 (multiplicity 4)  2 H 3.31
Cd1 0.1017 0.5000 0.6448 (multiplicity 4)  1 Cd 2.99
H1 0.0000 0.0000 0.0000 (multiplicity 2)  6 Cs 3.29-3.31

Output
Total magnetic moment (μB per formula unit): 0.0
Volume (Å³ per cell): 741

(ii)
# Cs4Cd2H

Crystalline Cs4Cd2H at its relaxed geometry (PBE, the Alexandria database).

a = 6.0596 Å, b = 6.0596 Å, c = 20.5810 Å
α = 90.00°, β = 90.00°, γ = 90.00°
With the nearest neighbours (Å) after each atom.
Space group I4/mmm (No. 139)
One atom of each set of equivalent atoms:
Cs1 0.0000 0.0000 0.1715 (multiplicity 4)  1 H 3.53
Cs2 0.0000 0.5000 0.0000 (multiplicity 4)  2 H 3.03
Cd1 0.0000 0.0000 0.3663 (multiplicity 4)  9 Cs 4.01-4.35
H1 0.0000 0.0000 0.0000 (multiplicity 2)  4 Cs 3.03

Output
Total magnetic moment (μB per formula unit): 0.0
Volume (Å³ per cell): 756

Here is how they stack up, most stable first: (i), (ii).

(i)
# CsCd2H6

Crystalline CsCd2H6 at its relaxed geometry (PBE, the Alexandria database).

a = 14.3767 Å, b = 3.7890 Å, c = 6.1370 Å
α = 90.00°, β = 111.19°, γ = 90.00°
With the nearest neighbours (Å) after each atom.
Space group C2/m (No. 12)
One atom of each set of equivalent atoms:
Cs1 0.0000 0.0000 0.0000 (multiplicity 2)  8 H 3.02-3.14
Cd1 0.2296 0.0000 0.7686 (multiplicity 4)  1 H 1.81
H1 0.0290 0.0000 0.5322 (multiplicity 4)  1 H 0.78
H2 0.1580 0.5000 0.3001 (multiplicity 4)  1 Cd 1.81
H3 0.1859 0.5000 0.8154 (multiplicity 4)  2 Cd 2.05

Output
Total magnetic moment (μB per formula unit): 0.0
Volume (Å³ per cell): 312

(ii)
# CsCd2H6

Crystalline CsCd2H6 at its relaxed geometry (PBE, the Alexandria database).

a = 4.9103 Å, b = 17.5781 Å, c = 6.2396 Å
α = 90.00°, β = 90.06°, γ = 90.00°
With the nearest neighbours (Å) after each atom.
Space group C2/m (No. 12)
One atom of each set of equivalent atoms:
Cs1 0.0000 0.0000 0.0000 (multiplicity 2)  4 H 3.05
Cd1 0.0000 0.4099 0.5000 (multiplicity 4)  2 H 2.06
H1 0.0004 0.5000 0.2898 (multiplicity 4)  2 Cd 2.06
H2 0.2304 0.2713 0.5000 (multiplicity 8)  1 H 0.77

Output
Total magnetic moment (μB per formula unit): 0.0
Volume (Å³ per cell): 539

Here is how they stack up, most stable first: (i), (ii).